Density functional theory data (PBE) for an optimized crystal structure of MnIn3Ni.

Calculated values
Magnetic moment = 3.1 μB per formula unit
Energy = -3.884 eV per atom
Energy of formation from the pure elements = 0.75 eV/atom
Density of states at the Fermi level = 4.54 states/eV/cell
Energy above the most stable polymorph in this dataset = 38.73 kJ/mol of atoms

```
MnIn3Ni
1.0
5.016 0.000 0.000
0.000 5.016 0.000
0.000 0.000 5.016
Mn In Ni
1 3 1
Direct
0.000 0.000 0.000
0.000 0.000 0.500
0.000 0.500 0.000
0.500 0.000 0.000
0.500 0.500 0.500
```

Density functional theory data (PBE) for an optimized crystal structure of TlOsCl.

Calculated values
Magnetic moment = 0.0 μB per formula unit
Energy = -4.381 eV per atom
Density of states at the Fermi level = 3.42 states/eV/cell
Energy above the most stable polymorph in this dataset = 0.00 kJ/mol of atoms

```
TlOsCl
1.0
0.000 2.734 7.980
1.473 0.000 7.980
1.473 2.734 0.000
Tl Os Cl
1 1 1
Direct
0.000 0.000 0.000
0.335 0.335 0.665
0.720 0.720 0.280
```

Density functional theory data (PBE) for an optimized crystal structure of CaIrCl.

Calculated values
Magnetic moment = 0.0 μB per formula unit
Energy = -5.472 eV per atom
Density of states at the Fermi level = 2.74 states/eV/cell
Energy above the most stable polymorph in this dataset = 0.00 kJ/mol of atoms

```
CaIrCl
1.0
4.133 0.000 0.000
1.918 3.661 0.000
2.037 1.215 10.612
Ca Ir Cl
2 2 2
Direct
0.070 0.068 0.291
0.930 0.932 0.709
0.326 0.326 0.498
0.674 0.674 0.502
0.226 0.229 0.841
0.774 0.771 0.159
```

Density functional theory data (PBE) for an optimized crystal structure of LaBMo.

Calculated values
Magnetic moment = 0.0 μB per formula unit
Energy = -7.546 eV per atom
Energy of formation from the pure elements = -0.07 eV/atom
Density of states at the Fermi level = 2.00 states/eV/cell
Energy above the most stable polymorph in this dataset = 5.57 kJ/mol of atoms

```
LaBMo
1.0
3.133 0.000 0.000
0.000 3.133 0.000
0.000 0.000 5.554
La B Mo
1 1 1
Direct
0.000 0.000 0.000
0.000 0.000 0.500
0.500 0.500 0.500
```

> energy above the most stable polymorph in this dataset of number 4 (LaBMo)?

5.57 kJ/mol of atoms

> Number 4 is which compound?

LaBMo

Repeat the first record exactly.
Density functional theory data (PBE) for an optimized crystal structure of MnIn3Ni.

Calculated values
Magnetic moment = 3.1 μB per formula unit
Energy = -3.884 eV per atom
Energy of formation from the pure elements = 0.75 eV/atom
Density of states at the Fermi level = 4.54 states/eV/cell
Energy above the most stable polymorph in this dataset = 38.73 kJ/mol of atoms

```
MnIn3Ni
1.0
5.016 0.000 0.000
0.000 5.016 0.000
0.000 0.000 5.016
Mn In Ni
1 3 1
Direct
0.000 0.000 0.000
0.000 0.000 0.500
0.000 0.500 0.000
0.500 0.000 0.000
0.500 0.500 0.500
```